Here is an optimized crystal structure of Mn2IrF8 from Alexandria. Energies are from GGA+U.

Results
- M_tot: 10.81 μB per formula unit
- Final energy: -5.556 eV per atom

Geometry as CIF:
```
data_Mn2IrF8
_chemical_formula_sum 'Mn2 Ir1 F8'
_space_group_name_H-M_alt 'P -3 m 1'
_space_group_IT_number 164
_space_group_name_Hall '-P 3 2"'
_cell_length_a 6.5777
_cell_length_b 6.5777
_cell_length_c 4.1309
_cell_angle_alpha 90.00
_cell_angle_beta 90.00
_cell_angle_gamma 120.00
loop_
_atom_site_label
_atom_site_type_symbol
_atom_site_fract_x
_atom_site_fract_y
_atom_site_fract_z
Mn1 Mn 0.3333 0.6667 0.2683
Ir1 Ir 0.0000 0.0000 0.5000
F1 F 0.1486 0.2972 0.2547
F2 F 0.3333 0.6667 0.7679
```